# PBE-GGA NbPb, relaxed
# - energy relative to the lowest polymorph listed for this composition (meV per atom) = 1365.1
# - V (Å³ per cell) = 268.5
# - ΔH_f (0 K) (meV per atom) = 1611
data_NbPb
_cell_length_a 6.451
_cell_length_b 6.451
_cell_length_c 6.451
_cell_angle_alpha 90.00
_cell_angle_beta 90.00
_cell_angle_gamma 90.00
_space_group_name_H-M_alt 'F -4 3 m'
_space_group_IT_number 216
_space_group_name_Hall 'F -4 2 3'
loop_
_atom_site_label
_atom_site_type_symbol
_atom_site_fract_x
_atom_site_fract_y
_atom_site_fract_z
_atom_site_occupancy
Nb1 Nb 0.000 0.000 0.000 1
Pb1 Pb 0.250 0.250 0.750 1